Here is a relaxed structure of K3BaAl from Alexandria. Energies are from GGA-PBE.

It has space group Pm-3m (No. 221), with a = 6.7797 Å, b = 6.7797 Å, c = 6.7797 Å, α = 90.00°, β = 90.00° and γ = 90.00°. Symmetry generates all atoms from K at (0.0000, 0.0000, 0.5000), Ba at (0.5000, 0.5000, 0.5000) and Al at (0.0000, 0.0000, 0.0000).

The density of states at the Fermi level is 5.85 states/eV/f.u. The relative energy among the computed polymorphs is 0.0 meV per atom. The value obtained for the uncorrected energy is -1.41 eV/atom. As for the calculated formation energy: 381 meV per atom.

---

Here is a relaxed structure of ZrTl2Br from Alexandria. Energies are from GGA-PBE.

It has space group I4/mmm (No. 139), with a = 4.3631 Å, b = 4.3631 Å, c = 10.6329 Å, α = 90.00°, β = 90.00° and γ = 90.00°. Symmetry generates all atoms from Zr at (0.0000, 0.0000, 0.0000), Tl at (0.0000, 0.5000, 0.2500) and Br at (0.0000, 0.0000, 0.5000).

The density of states at the Fermi level is 3.85 states/eV/f.u. The relative energy among the computed polymorphs is 517.2 meV per atom. Its raw formation energy is 46 kJ/mol of formula units. The value obtained for the uncorrected energy is -3.62 eV/atom.

---

Here is a relaxed structure of Ce5PuGaGe2 from Alexandria. Energies are from GGA-PBE.

It has space group I4/mcm (No. 140), with a = 7.5538 Å, b = 7.5538 Å, c = 15.7386 Å, α = 90.00°, β = 90.00° and γ = 90.00°. Symmetry generates all atoms from Ce at (0.0000, 0.0000, 0.0000), Ce at (0.1813, 0.3187, 0.1369), Pu at (0.0000, 0.5000, 0.2500), Ga at (0.0000, 0.0000, 0.2500) and Ge at (0.1212, 0.3788, 0.5000).

The density of states at the Fermi level is 18.91 states/eV/f.u. The value obtained for the uncorrected energy is -6.64 eV/atom. As for the calculated formation energy: -392 meV per atom.

---

Here is a relaxed structure of RbNbAu3 from Alexandria. Energies are from GGA-PBE.

It has space group Pm-3m (No. 221), with a = 5.5856 Å, b = 5.5856 Å, c = 5.5856 Å, α = 90.00°, β = 90.00° and γ = 90.00°. Symmetry generates all atoms from Rb at (0.0000, 0.0000, 0.0000), Nb at (0.5000, 0.5000, 0.5000) and Au at (0.0000, 0.0000, 0.5000).

The density of states at the Fermi level is 2.86 states/eV/f.u. The relative energy among the computed polymorphs is 1487.5 meV per atom. The value obtained for the uncorrected energy is -2.36 eV/atom. As for the calculated formation energy: 1818 meV per atom.

---

Here is a relaxed structure of RbCuRu2Rh from Alexandria. Energies are from GGA-PBE.

It has space group P4/mmm (No. 123), with a = 4.7683 Å, b = 4.7683 Å, c = 4.9945 Å, α = 90.00°, β = 90.00° and γ = 90.00°. Symmetry generates all atoms from Rb at (0.0000, 0.0000, 0.0000), Cu at (0.5000, 0.5000, 0.0000), Ru at (0.0000, 0.5000, 0.5000) and Rh at (0.5000, 0.5000, 0.5000).

The density of states at the Fermi level is 8.21 states/eV/f.u. The value obtained for the uncorrected energy is -4.82 eV/atom. As for the calculated formation energy: 1369 meV per atom.

---

Here is a relaxed structure of SrHoPa2As4 from Alexandria. Energies are from GGA-PBE.

It has space group I-4m2 (No. 119), with a = 5.8860 Å, b = 5.8860 Å, c = 11.8299 Å, α = 90.00°, β = 90.00° and γ = 90.00°. Symmetry generates all atoms from Sr at (0.0000, 0.0000, 0.0000), Ho at (0.0000, 0.5000, 0.7500), Pa at (0.0000, 0.0000, 0.5000), Pa at (0.0000, 0.5000, 0.2500), As at (0.0000, 0.0000, 0.2586) and As at (0.0000, 0.5000, 0.0029).

The density of states at the Fermi level is 9.28 states/eV/f.u. The value obtained for the uncorrected energy is -6.64 eV/atom. As for the calculated formation energy: -1155 meV per atom.

---

Here is a relaxed structure of Ti3CdAs from Alexandria. Energies are from GGA-PBE.

It has space group Pm-3m (No. 221), with a = 4.9472 Å, b = 4.9472 Å, c = 4.9472 Å, α = 90.00°, β = 90.00° and γ = 90.00°. Symmetry generates all atoms from Ti at (0.0000, 0.0000, 0.5000), Cd at (0.0000, 0.0000, 0.0000) and As at (0.5000, 0.5000, 0.5000).

The density of states at the Fermi level is 4.35 states/eV/f.u. The relative energy among the computed polymorphs is 1045.5 meV per atom. The value obtained for the uncorrected energy is -4.76 eV/atom. As for the calculated formation energy: 1095 meV per atom.

---

Here is a relaxed structure of DyEr2In from Alexandria. Energies are from GGA-PBE.

It has space group P4/mmm (No. 123), with a = 4.8152 Å, b = 4.8152 Å, c = 4.8159 Å, α = 90.00°, β = 90.00° and γ = 90.00°. Symmetry generates all atoms from Dy at (0.0000, 0.0000, 0.0000), Er at (0.0000, 0.5000, 0.5000) and In at (0.5000, 0.5000, 0.0000).

The density of states at the Fermi level is 5.46 states/eV/f.u. The relative energy among the computed polymorphs is 0.0 meV per atom. The value obtained for the uncorrected energy is -4.38 eV/atom. As for the calculated formation energy: -264 meV per atom.

---

Here is a relaxed structure of Zn2GaNi8 from Alexandria. Energies are from GGA-PBE.

It has space group C2/m (No. 12), with a = 7.2413 Å, b = 9.5438 Å, c = 3.8955 Å, α = 90.00°, β = 90.25° and γ = 90.00°. Symmetry generates all atoms from Zn at (0.0000, 0.1251, 0.0000), Ga at (0.0000, 0.5000, 0.5000), Ni at (0.0000, 0.2551, 0.5000), Ni at (0.1681, 0.0000, 0.4992) and Ni at (0.1683, 0.3672, 0.0019).

The density of states at the Fermi level is 13.78 states/eV/f.u. The relative energy among the computed polymorphs is 19.6 meV per atom. The value obtained for the uncorrected energy is -4.67 eV/atom. As for the calculated formation energy: 39 meV per atom.

---

Here is a relaxed structure of Rb3Cd4Au2 from Alexandria. Energies are from GGA-PBE.

It has space group C2/m (No. 12), with a = 13.2591 Å, b = 4.7840 Å, c = 10.8455 Å, α = 90.00°, β = 111.46° and γ = 90.00°. Symmetry generates all atoms from Rb at (0.0000, 0.0000, 0.0000), Rb at (0.0979, 0.5000, 0.6858), Cd at (0.1644, 0.0000, 0.4299), Cd at (0.2277, 0.5000, 0.0647) and Au at (0.1807, 0.5000, 0.2942).

The density of states at the Fermi level is 4.07 states/eV/f.u. The relative energy among the computed polymorphs is 0.0 meV per atom. The value obtained for the uncorrected energy is -1.62 eV/atom. As for the calculated formation energy: -161 meV per atom.